Compound: Sc2Nb4Ge3C3
Source: the Open Quantum Materials Database
Functional: PBE
Structure: relaxed

a b c (Å): 5.5548 5.5548 13.8709
angles (deg): 101.74 101.74 60.06
Last column: nearest neighbours and their distance in Å.
Positions (direct):
Sc (0.0340, 0.8720, 0.5994)  3 C 2.29-2.31
Sc (0.1280, 0.9660, 0.9006)  3 C 2.29-2.31
Sc (0.8720, 0.0340, 0.0994)  3 C 2.29-2.31
Sc (0.9660, 0.1280, 0.4006)  3 C 2.29-2.31
Nb (0.1956, 0.3576, 0.0876)  3 C 2.18-2.21
Nb (0.2979, 0.4769, 0.4125)  3 C 2.18-2.21
Nb (0.3576, 0.1956, 0.5876)  3 C 2.18-2.21
Nb (0.4769, 0.2979, 0.9125)  3 C 2.18-2.21
Nb (0.5231, 0.7021, 0.0875)  3 C 2.18-2.21
Nb (0.6424, 0.8044, 0.4124)  3 C 2.18-2.21
Nb (0.7021, 0.5231, 0.5875)  3 C 2.18-2.21
Nb (0.8044, 0.6424, 0.9124)  3 C 2.18-2.21
Ge (0.0854, 0.2788, 0.7513)  4 Nb 2.81-2.82, 2 Sc 2.84-2.87, 4 Ge 3.07
Ge (0.2788, 0.0854, 0.2513)  4 Nb 2.81-2.82, 2 Sc 2.84-2.87, 4 Ge 3.07
Ge (0.4500, 0.5500, 0.7500)  4 Nb 2.82-2.83, 2 Sc 2.89, 4 Ge 3.07
Ge (0.5500, 0.4500, 0.2500)  4 Nb 2.82-2.83, 2 Sc 2.89, 4 Ge 3.07
Ge (0.7212, 0.9146, 0.7487)  4 Nb 2.81-2.82, 2 Sc 2.84-2.87, 4 Ge 3.07
Ge (0.9146, 0.7212, 0.2487)  4 Nb 2.81-2.82, 2 Sc 2.84-2.87, 4 Ge 3.07
C (0.0000, 0.5000, 0.5000)  4 Nb 2.18-2.19, 2 Sc 2.31
C (0.1688, 0.6618, 0.9999)  4 Nb 2.18-2.21, 2 Sc 2.29
C (0.3382, 0.8312, 0.5001)  4 Nb 2.18-2.21, 2 Sc 2.29
C (0.5000, 0.0000, 0.0000)  4 Nb 2.18-2.19, 2 Sc 2.31
C (0.6618, 0.1688, 0.4999)  4 Nb 2.18-2.21, 2 Sc 2.29
C (0.8312, 0.3382, 0.0001)  4 Nb 2.18-2.21, 2 Sc 2.29

Output
energy: -8.494 eV/atom